The following is a PBE with a Hubbard U calculation of a relaxed structure of Fe23O25, from Alexandria via LeMat-Bulk.

POSCAR file:
```
Fe23O25
1.0
-0.6635 3.4919 -5.8102
-6.4691 -0.7711 -2.0953
-3.0155 11.2581 3.1538
Fe O
23 25
Direct
0.7362 0.6861 0.8384
0.4831 0.3005 0.5615
0.8831 0.3180 0.3604
0.2301 0.9009 0.2774
0.2638 0.3139 0.1616
0.6190 0.5088 0.2016
0.6478 0.9011 0.0829
0.6910 0.2961 0.9544
0.0000 0.5000 0.0000
0.0385 0.9127 0.8744
0.3522 0.0989 0.9171
0.3810 0.4912 0.7984
0.4350 0.9105 0.6815
0.7699 0.0991 0.7226
0.8029 0.4949 0.6086
0.1169 0.6820 0.6396
0.8451 0.8939 0.4736
0.1549 0.1061 0.5264
0.1971 0.5051 0.3914
0.5169 0.6995 0.4385
0.5650 0.0895 0.3185
0.9615 0.0873 0.1256
0.3090 0.7039 0.0456
0.3125 0.9992 0.0987
0.6505 0.5949 0.0313
0.6875 0.0008 0.9013
0.0643 0.6024 0.8204
0.1178 0.9718 0.6965
0.4264 0.1926 0.7371
0.4547 0.6071 0.6305
0.5000 0.0000 0.5000
0.8153 0.1934 0.5389
0.8419 0.5971 0.4389
0.1847 0.8066 0.4611
0.5453 0.3929 0.3695
0.8822 0.0282 0.3035
0.2376 0.1866 0.3382
0.2916 0.5989 0.2233
0.5736 0.8074 0.2629
0.6051 0.2120 0.1542
0.9357 0.3976 0.1796
0.9879 0.7995 0.0420
0.0121 0.2005 0.9580
0.3495 0.4051 0.9687
0.3949 0.7880 0.8458
0.7084 0.4011 0.7767
0.7624 0.8134 0.6618
0.1581 0.4029 0.5611
```

Calculated values
SG: P-1, No. 2
Size of the total moment: 96.12 μB per formula unit
Uncorrected energy: -6.642 eV per atom